No. 1
The following is a DFT calculation (PBE-GGA) of crystalline TbTmTh2S4 at its relaxed geometry.

Values from the calculation:
* E_tot: -6.95 eV per atom
* DOS(E_F): 4.95 states/eV per cell
* space group: No. 10
* magnetization: 0.00 Bohr magnetons per cell

Cell lengths 3.916, 6.725, 7.071 Å; angles 108.74, 90.00, 90.00 degrees
Atoms (fractional coordinates):
Tb: 0.000 0.000 0.000
Tm: 0.500 0.500 0.000
Th: 0.500 0.000 0.500
Th: 0.000 0.500 0.500
S: 0.500 0.248 0.233
S: 0.500 0.752 0.767
S: 0.000 0.260 0.769
S: 0.000 0.740 0.231


No. 2
The following is a DFT calculation (PBE-GGA) of crystalline Tb2Tm3ThS6 at its relaxed geometry.

Values from the calculation:
* E_tot: -6.50 eV per atom
* DOS(E_F): 5.77 states/eV per cell
* space group: No. 12
* magnetization: 0.00 Bohr magnetons per cell

Cell lengths 3.890, 7.854, 8.763 Å; angles 103.76, 102.82, 90.00 degrees
Atoms (fractional coordinates):
Tb: 0.836 0.671 0.672
Tb: 0.164 0.329 0.328
Tm: 0.500 0.500 0.000
Tm: 0.836 0.166 0.671
Tm: 0.164 0.834 0.329
Th: 0.500 0.000 0.000
S: 0.327 0.920 0.654
S: 0.666 0.588 0.333
S: 0.673 0.080 0.346
S: 0.998 0.264 0.996
S: 0.002 0.736 0.004
S: 0.334 0.412 0.667


No. 3
The following is a DFT calculation (PBE-GGA) of crystalline TbTm3Th4S8 at its relaxed geometry.

Values from the calculation:
* E_tot: -6.94 eV per atom
* DOS(E_F): 5.17 states/eV per cell
* space group: No. 166
* magnetization: 0.00 Bohr magnetons per cell

Cell lengths 7.750, 8.074, 7.750 Å; angles 118.68, 120.00, 90.00 degrees
Atoms (fractional coordinates):
Tb: 0.000 0.500 0.000
Tm: 0.500 0.500 0.000
Tm: 0.500 0.500 0.500
Tm: 0.000 0.500 0.500
Th: 0.500 0.000 0.000
Th: 0.500 0.000 0.500
Th: 0.000 0.000 0.000
Th: 0.000 0.000 0.500
S: 0.245 0.730 0.985
S: 0.245 0.730 0.490
S: 0.257 0.272 0.515
S: 0.740 0.730 0.985
S: 0.260 0.270 0.015
S: 0.743 0.728 0.485
S: 0.755 0.270 0.509
S: 0.755 0.270 0.015


No. 4
The following is a DFT calculation (PBE-GGA) of crystalline Tb3Y2ThS6 at its relaxed geometry.

Values from the calculation:
* E_tot: -6.88 eV per atom
* DOS(E_F): 5.97 states/eV per cell
* space group: No. 12
* magnetization: 0.00 Bohr magnetons per cell

Cell lengths 3.942, 7.909, 8.814 Å; angles 102.81, 102.92, 90.00 degrees
Atoms (fractional coordinates):
Tb: 0.500 0.500 0.000
Tb: 0.836 0.166 0.673
Tb: 0.164 0.834 0.327
Y: 0.835 0.670 0.670
Y: 0.165 0.330 0.330
Th: 0.500 0.000 0.000
S: 0.329 0.914 0.658
S: 0.668 0.583 0.336
S: 0.671 0.086 0.342
S: 0.001 0.260 0.002
S: 0.999 0.740 0.998
S: 0.332 0.417 0.664


No. 5
The following is a DFT calculation (PBE-GGA) of crystalline Tb2Y3ThS6 at its relaxed geometry.

Values from the calculation:
* E_tot: -7.03 eV per atom
* DOS(E_F): 6.02 states/eV per cell
* space group: No. 12
* magnetization: 0.00 Bohr magnetons per cell

Cell lengths 3.937, 7.910, 8.817 Å; angles 103.03, 102.90, 90.00 degrees
Atoms (fractional coordinates):
Tb: 0.835 0.670 0.670
Tb: 0.165 0.330 0.330
Y: 0.500 0.500 0.000
Y: 0.836 0.166 0.672
Y: 0.164 0.834 0.328
Th: 0.500 0.000 0.000
S: 0.329 0.915 0.658
S: 0.668 0.584 0.336
S: 0.671 0.085 0.342
S: 0.000 0.260 0.000
S: 0.000 0.740 0.000
S: 0.332 0.416 0.664


No. 6
The following is a DFT calculation (PBE-GGA) of crystalline TbY2ThS4 at its relaxed geometry.

Values from the calculation:
* E_tot: -7.13 eV per atom
* DOS(E_F): 3.32 states/eV per cell
* space group: No. 10
* magnetization: 0.00 Bohr magnetons per cell

Cell lengths 3.925, 6.875, 6.857 Å; angles 70.84, 90.00, 90.00 degrees
Atoms (fractional coordinates):
Tb: 0.000 0.500 0.500
Y: 0.000 0.000 0.000
Y: 0.500 0.000 0.500
Th: 0.500 0.500 0.000
S: 0.000 0.759 0.742
S: 0.000 0.241 0.258
S: 0.500 0.755 0.254
S: 0.500 0.245 0.746


No. 7
The following is a DFT calculation (PBE-GGA) of crystalline Tb2YTh3S6 at its relaxed geometry.

Values from the calculation:
* E_tot: -7.14 eV per atom
* DOS(E_F): 7.12 states/eV per cell
* space group: No. 12
* magnetization: 0.00 Bohr magnetons per cell

Cell lengths 6.769, 6.769, 7.093 Å; angles 99.11, 99.11, 119.61 degrees
Atoms (fractional coordinates):
Tb: 0.333 0.667 0.000
Tb: 0.667 0.333 0.000
Y: 0.000 0.000 0.000
Th: 0.167 0.833 0.500
Th: 0.833 0.167 0.500
Th: 0.500 0.500 0.500
S: 0.922 0.589 0.765
S: 0.746 0.746 0.236
S: 0.078 0.411 0.235
S: 0.589 0.922 0.765
S: 0.254 0.254 0.764
S: 0.411 0.078 0.235


No. 8
The following is a DFT calculation (PBE-GGA) of crystalline Tb2YThS4 at its relaxed geometry.

Values from the calculation:
* E_tot: -6.91 eV per atom
* DOS(E_F): 3.37 states/eV per cell
* space group: No. 10
* magnetization: 0.00 Bohr magnetons per cell

Cell lengths 3.930, 6.858, 6.879 Å; angles 70.80, 90.00, 90.00 degrees
Atoms (fractional coordinates):
Tb: 0.000 0.000 0.000
Tb: 0.500 0.000 0.500
Y: 0.000 0.500 0.500
Th: 0.500 0.500 0.000
S: 0.000 0.758 0.741
S: 0.000 0.242 0.259
S: 0.500 0.753 0.255
S: 0.500 0.247 0.745


No. 9
The following is a DFT calculation (PBE-GGA) of crystalline Tb3YTh4S8 at its relaxed geometry.

Values from the calculation:
* E_tot: -7.11 eV per atom
* DOS(E_F): 5.09 states/eV per cell
* space group: No. 166
* magnetization: 0.00 Bohr magnetons per cell

Cell lengths 7.836, 8.100, 7.836 Å; angles 118.92, 120.00, 90.00 degrees
Atoms (fractional coordinates):
Tb: 0.500 0.500 0.000
Tb: 0.500 0.500 0.500
Tb: 0.000 0.500 0.500
Y: 0.000 0.500 0.000
Th: 0.500 0.000 0.000
Th: 0.500 0.000 0.500
Th: 0.000 0.000 0.000
Th: 0.000 0.000 0.500
S: 0.245 0.736 0.991
S: 0.245 0.736 0.490
S: 0.255 0.264 0.509
S: 0.746 0.736 0.991
S: 0.254 0.264 0.009
S: 0.745 0.736 0.491
S: 0.755 0.264 0.510
S: 0.755 0.264 0.009


No. 10
The following is a DFT calculation (PBE-GGA) of crystalline TbTiS2 at its relaxed geometry.

Values from the calculation:
* E_tot: -6.76 eV per atom
* DOS(E_F): 2.84 states/eV per cell
* space group: No. 160
* magnetization: 0.57 Bohr magnetons per cell

Cell lengths 3.654, 3.654, 6.733 Å; angles 74.25, 74.25, 60.00 degrees
Atoms (fractional coordinates):
Tb: 0.495 0.495 0.514
Ti: 0.673 0.673 0.981
S: 0.072 0.072 0.783
S: 0.259 0.259 0.222


No. 11
The following is a DFT calculation (PBE-GGA) of crystalline TbTi4S8 at its relaxed geometry.

Values from the calculation:
* E_tot: -6.84 eV per atom
* DOS(E_F): 8.49 states/eV per cell
* space group: No. 166
* magnetization: 0.00 Bohr magnetons per cell

Cell lengths 6.896, 6.896, 7.597 Å; angles 63.01, 63.01, 60.00 degrees
Atoms (fractional coordinates):
Tb: 0.500 0.500 0.500
Ti: 0.000 0.500 0.000
Ti: 0.500 0.500 0.000
Ti: 0.500 0.000 0.000
Ti: 0.000 0.000 0.000
S: 0.749 0.238 0.775
S: 0.762 0.251 0.225
S: 0.251 0.762 0.225
S: 0.762 0.762 0.225
S: 0.739 0.739 0.784
S: 0.261 0.261 0.216
S: 0.238 0.238 0.775
S: 0.238 0.749 0.775


No. 12
The following is a DFT calculation (PBE-GGA) of crystalline Tb2TiS6 at its relaxed geometry.

Values from the calculation:
* E_tot: -6.06 eV per atom
* DOS(E_F): 4.20 states/eV per cell
* space group: No. 14
* magnetization: 0.00 Bohr magnetons per cell

Cell lengths 6.500, 7.077, 8.294 Å; angles 90.00, 96.84, 90.00 degrees
Atoms (fractional coordinates):
Tb: 0.972 0.374 0.768
Tb: 0.528 0.874 0.732
Tb: 0.472 0.126 0.268
Tb: 0.028 0.626 0.232
Ti: 0.500 0.500 0.000
Ti: 0.000 0.000 0.500
S: 0.853 0.993 0.222
S: 0.831 0.689 0.535
S: 0.807 0.663 0.927
S: 0.693 0.163 0.573
S: 0.669 0.189 0.965
S: 0.647 0.493 0.278
S: 0.147 0.007 0.778
S: 0.169 0.311 0.465
S: 0.193 0.337 0.073
S: 0.307 0.837 0.427
S: 0.331 0.811 0.035
S: 0.353 0.507 0.722


No. 13
The following is a DFT calculation (PBE-GGA) of crystalline TbTiS4 at its relaxed geometry.

Values from the calculation:
* E_tot: -6.17 eV per atom
* DOS(E_F): 2.44 states/eV per cell
* space group: No. 15
* magnetization: 0.00 Bohr magnetons per cell

Cell lengths 6.666, 5.866, 7.630 Å; angles 104.41, 108.52, 108.07 degrees
Atoms (fractional coordinates):
Tb: 0.371 0.621 0.241
Tb: 0.629 0.379 0.759
Ti: 0.071 0.821 0.643
Ti: 0.929 0.179 0.357
S: 0.898 0.268 0.064
S: 0.666 0.796 0.064
S: 0.287 0.558 0.575
S: 0.713 0.442 0.425
S: 0.212 0.984 0.425
S: 0.334 0.204 0.936
S: 0.788 0.016 0.575
S: 0.102 0.732 0.936


No. 14
The following is a DFT calculation (PBE-GGA) of crystalline TbTiS at its relaxed geometry.

Values from the calculation:
* E_tot: -6.43 eV per atom
* DOS(E_F): 4.33 states/eV per cell
* space group: No. 71
* magnetization: 0.44 Bohr magnetons per cell

Cell lengths 4.505, 3.524, 8.206 Å; angles 102.40, 105.93, 90.00 degrees
Atoms (fractional coordinates):
Tb: 0.668 0.168 0.336
Tb: 0.332 0.832 0.664
Ti: 0.747 0.500 0.000
Ti: 0.253 0.500 0.000
S: 0.153 0.653 0.307
S: 0.847 0.347 0.693


No. 15
The following is a DFT calculation (PBE-GGA) of crystalline Tb6Ti3S14 at its relaxed geometry.

Values from the calculation:
* E_tot: -6.51 eV per atom
* DOS(E_F): 4.80 states/eV per cell
* space group: No. 143
* magnetization: 2.05 Bohr magnetons per cell

Cell lengths 6.209, 9.637, 9.637 Å; angles 120.00, 90.00, 90.00 degrees
Atoms (fractional coordinates):
Tb: 0.262 0.825 0.120
Tb: 0.262 0.880 0.704
Tb: 0.262 0.296 0.175
Tb: 0.779 0.511 0.541
Tb: 0.779 0.459 0.970
Tb: 0.779 0.030 0.489
Ti: 0.839 0.000 0.000
Ti: 0.354 0.333 0.667
Ti: 0.438 0.667 0.333
S: 0.997 0.102 0.246
S: 0.997 0.754 0.856
S: 0.997 0.144 0.898
S: 0.513 0.230 0.423
S: 0.513 0.577 0.807
S: 0.513 0.193 0.770
S: 0.465 0.000 0.000
S: 0.979 0.333 0.667
S: 0.670 0.775 0.197
S: 0.670 0.803 0.578
S: 0.670 0.422 0.225
S: 0.201 0.560 0.473
S: 0.201 0.527 0.087
S: 0.201 0.913 0.440


No. 16
The following is a DFT calculation (PBE-GGA) of crystalline TbTiS2 at its relaxed geometry.

Values from the calculation:
* E_tot: -6.77 eV per atom
* DOS(E_F): 2.26 states/eV per cell
* space group: No. 166
* magnetization: 0.00 Bohr magnetons per cell

Cell lengths 3.744, 3.744, 6.393 Å; angles 72.98, 72.98, 60.00 degrees
Atoms (fractional coordinates):
S: 0.259 0.259 0.222
S: 0.741 0.741 0.778
Tb: 0.500 0.500 0.500
Ti: 0.000 0.000 0.000


No. 17
The following is a DFT calculation (PBE-GGA) of crystalline Tb3TiTl3S8 at its relaxed geometry.

Values from the calculation:
* E_tot: -5.55 eV per atom
* space group: No. 166
* magnetization: 0.00 Bohr magnetons per cell

Cell lengths 7.842, 7.842, 8.829 Å; angles 116.39, 90.00, 120.00 degrees
Atoms (fractional coordinates):
Tb: 0.500 0.000 0.500
Tb: 0.500 0.500 0.500
Tb: 0.000 0.500 0.500
Ti: 0.000 0.000 0.500
Tl: 0.000 0.000 0.000
Tl: 0.000 0.500 0.000
Tl: 0.500 0.500 0.000
S: 0.266 0.533 0.299
S: 0.734 0.467 0.701
S: 0.786 0.571 0.313
S: 0.214 0.429 0.687
S: 0.786 0.027 0.313
S: 0.214 0.973 0.687
S: 0.241 0.027 0.313
S: 0.759 0.973 0.687


No. 18
The following is a DFT calculation (PBE-GGA) of crystalline Tb3TiTl4S8 at its relaxed geometry.

Values from the calculation:
* E_tot: -5.34 eV per atom
* DOS(E_F): 6.15 states/eV per cell
* space group: No. 166
* magnetization: 1.01 Bohr magnetons per cell

Cell lengths 7.896, 8.796, 7.896 Å; angles 116.68, 120.00, 90.00 degrees
Atoms (fractional coordinates):
Tb: 0.500 0.500 0.000
Tb: 0.500 0.500 0.500
Tb: 0.000 0.500 0.500
Ti: 0.000 0.500 0.000
Tl: 0.500 0.000 0.000
Tl: 0.500 0.000 0.500
Tl: 0.000 0.000 0.000
Tl: 0.000 0.000 0.500
S: 0.221 0.693 0.972
S: 0.221 0.693 0.441
S: 0.266 0.298 0.532
S: 0.752 0.693 0.972
S: 0.248 0.307 0.028
S: 0.734 0.702 0.468
S: 0.779 0.307 0.559
S: 0.779 0.307 0.028


No. 19
The following is a DFT calculation (PBE-GGA) of crystalline Tb4Tl3S8 at its relaxed geometry.

Values from the calculation:
* E_tot: -5.27 eV per atom
* DOS(E_F): 5.47 states/eV per cell
* space group: No. 12
* magnetization: 0.00 Bohr magnetons per cell

Cell lengths 8.065, 8.183, 8.183 Å; angles 89.74, 119.03, 119.03 degrees
Atoms (fractional coordinates):
Tb: 0.500 0.000 0.000
Tb: 0.000 0.500 0.000
Tb: 0.000 0.000 0.000
Tb: 0.000 0.000 0.500
Tl: 0.500 0.500 0.000
Tl: 0.500 0.000 0.500
Tl: 0.500 0.500 0.500
S: 0.465 0.217 0.217
S: 0.000 0.759 0.241
S: 0.974 0.229 0.229
S: 0.500 0.763 0.237
S: 0.500 0.237 0.763
S: 0.026 0.771 0.771
S: 0.000 0.241 0.759
S: 0.535 0.783 0.783


No. 20
The following is a DFT calculation (PBE-GGA) of crystalline TbTlS at its relaxed geometry.

Values from the calculation:
* E_tot: -4.76 eV per atom
* DOS(E_F): 3.07 states/eV per cell
* space group: No. 166
* magnetization: 0.00 Bohr magnetons per cell

Cell lengths 4.581, 4.581, 9.433 Å; angles 75.95, 75.95, 60.00 degrees
Atoms (fractional coordinates):
S: 0.294 0.294 0.118
S: 0.706 0.706 0.882
Tl: 0.142 0.142 0.575
Tl: 0.858 0.858 0.425
Tb: 0.396 0.396 0.812
Tb: 0.604 0.604 0.188